[1]
A plane-wave DFT calculation with PBE was carried out for an optimized crystal structure of ReSb2PdI.

POSCAR file:
```
ReSb2PdI
1.0
5.210 0.000 0.000
0.000 5.210 0.000
0.000 0.000 5.359
I Re Pd Sb
1 1 1 2
direct
0.000 0.000 0.500
0.500 0.500 0.500
0.000 0.000 0.000
0.000 0.500 0.000
0.500 0.000 0.000
```

Energy relative to the lowest polymorph listed for this composition, meV per atom: 430.6
Space group: No. 123

---

[2]
A plane-wave DFT calculation with PBE was carried out for an optimized crystal structure of RbBaZn2Bi2.

POSCAR file:
```
RbBaZn2Bi2
1.0
-0.459 2.360 -4.138
-3.140 -3.418 1.167
-6.206 7.372 4.894
Rb Ba Zn Bi
1 1 2 2
direct
0.000 0.000 0.000
0.000 0.000 0.500
0.333 0.667 0.702
0.667 0.333 0.298
0.333 0.667 0.256
0.667 0.333 0.744
```

DFT formation energy, eV per atom: -0.410
Space group: No. 164

---

[3]
A plane-wave DFT calculation with PBE was carried out for an optimized crystal structure of Cr2IrRh.

POSCAR file:
```
Cr2IrRh
1.0
-0.642 3.632 0.025
-0.944 -0.141 -3.648
-7.164 -1.280 1.903
Cr Ir Rh
4 2 2
direct
0.000 0.250 0.126
0.000 0.750 0.874
0.000 0.250 0.628
0.000 0.750 0.372
0.500 0.250 0.873
0.500 0.750 0.127
0.500 0.250 0.376
0.500 0.750 0.624
```

DFT formation energy, eV per atom: -0.113
Space group: No. 51

---

[4]
A plane-wave DFT calculation with PBE was carried out for an optimized crystal structure of ScCdP2O.

POSCAR file:
```
ScCdP2O
1.0
4.937 0.000 0.000
0.000 4.937 0.000
0.000 0.000 4.060
Sc P O Cd
1 2 1 1
direct
0.500 0.500 0.500
0.000 0.500 0.000
0.500 0.000 0.000
0.000 0.000 0.500
0.000 0.000 0.000
```

Energy relative to the lowest polymorph listed for this composition, meV per atom: 620.9
Space group: No. 123

---

[5]
A plane-wave DFT calculation with PBE was carried out for an optimized crystal structure of NbCuHPt2.

POSCAR file:
```
NbCuHPt2
1.0
-2.732 -2.847 -0.226
2.250 -1.928 -2.916
1.892 -2.039 2.808
H Nb Cu Pt
1 1 1 2
direct
0.000 0.000 0.000
0.000 0.500 0.000
0.500 0.500 0.500
0.000 0.000 0.500
0.500 0.000 0.000
```

Calculated total energy, eV/cell: -29.9
Space group: No. 123

---

[6]
A plane-wave DFT calculation with PBE was carried out for an optimized crystal structure of HgSb2PtI.

POSCAR file:
```
HgSb2PtI
1.0
5.280 0.000 0.000
0.000 5.280 0.000
0.000 0.000 5.746
I Sb Hg Pt
1 2 1 1
direct
0.000 0.000 0.500
0.000 0.500 0.000
0.500 0.000 0.000
0.500 0.500 0.500
0.000 0.000 0.000
```

Energy relative to the lowest polymorph listed for this composition, meV per atom: 0.0
Space group: No. 123